A plane-wave DFT calculation with GGA-PBE was carried out for a relaxed structure of Pm2Al6Cu9.

The space group is P6/mmm (No. 191) and the conventional cell measures 5.2624, 5.2624 and 12.1160 Å, with angles of 90.00, 90.00 and 120.00 degrees. Symmetry generates all atoms from Pm at (0.0000, 0.0000, 0.1748), Al at (0.3333, 0.6667, 0.1641), Al at (0.3333, 0.6667, 0.5000), Cu at (0.0000, 0.5000, 0.0000) and Cu at (0.0000, 0.5000, 0.3326).

The magnetic moment is 0.0000 μB per atom. For the energy, the calculation gives -4.230 eV per atom. Its formation energy is -0.181 eV/atom.